Entry 1:
A plane-wave DFT calculation with PBE was carried out for Zr4CdSe8 after structural relaxation.

Output
Symmetry: R-3m (166)
Raw total energy (eV for the cell shown): -78.8

Unit cell a=8.5463 b=8.5463 c=8.5463 alpha=52.38 beta=52.38 gamma=52.38
Fractional positions:
1 Zr 0.0000 0.0000 0.0000
2 Zr 0.0000 0.5000 0.5000
3 Zr 0.5000 0.0000 0.5000
4 Zr 0.5000 0.5000 0.0000
5 Cd 0.5000 0.5000 0.5000
6 Se 0.2419 0.2419 0.7394
7 Se 0.2419 0.7394 0.2419
8 Se 0.2605 0.2605 0.2605
9 Se 0.2606 0.7581 0.7581
10 Se 0.7394 0.2419 0.2419
11 Se 0.7395 0.7395 0.7395
12 Se 0.7581 0.2606 0.7581
13 Se 0.7581 0.7581 0.2606

Entry 2:
A plane-wave DFT calculation with PBE was carried out for LaCeLu after structural relaxation.

Output
Formation energy from the elements (kJ per mole of atoms): 7.47
Symmetry: P3m1 (156)
Raw total energy (eV for the cell shown): -15.1
Offset from the most stable computed form (eV per atom): 0.000

Unit cell a=3.5328 b=3.5328 c=8.6888 alpha=90.00 beta=90.00 gamma=120.00
Fractional positions:
1 La 0.0000 0.0000 0.0000
2 Ce 0.3333 0.6667 0.6685
3 Lu 0.6667 0.3333 0.3482

Entry 3:
A plane-wave DFT calculation with PBE was carried out for Cs2SbAs after structural relaxation.

Output
Symmetry: C2 (5)
Raw total energy (eV for the cell shown): -12.1
Offset from the most stable computed form (eV per atom): 0.000

Unit cell a=6.9753 b=6.9753 c=4.3759 alpha=108.26 beta=108.26 gamma=63.26
Fractional positions:
1 Cs 0.1948 0.1948 0.1961
2 Cs 0.8052 0.8052 0.8039
3 Sb 0.5143 0.4857 0.0000
4 As 0.2895 0.7105 0.5000